1.
BaMnAl | PBE-GGA | optimized geometry

abc: 5.0581 5.0581 5.0581
angles: 60.00 60.00 60.00
Closest atoms and distances in Å follow each position.
Element x y z (fractional)
Ba 0.5000 0.5000 0.5000  4 Mn 3.10
Al 0.0000 0.0000 0.0000  4 Mn 3.10
Mn 0.7500 0.7500 0.7500  4 Ba 3.10, 4 Al 3.10

## Properties
Distance to the lowest polymorph of the same formula = 292.1 meV/atom


2.
NdPu5Pd6 | PBE-GGA | optimized geometry

abc: 5.0602 6.8381 8.7788
angles: 112.92 106.75 90.00
Closest atoms and distances in Å follow each position.
Element x y z (fractional)
Pu 0.6716 0.6716 0.3433  8 Pd 3.03-3.08
Pu 0.3343 0.8343 0.6686  8 Pd 3.08-3.13, 2 Pu 3.42
Pu 0.6657 0.1657 0.3314  8 Pd 3.08-3.13, 2 Pu 3.42
Pu 0.3284 0.3284 0.6567  8 Pd 3.03-3.08
Pu 0.0000 0.5000 0.0000  8 Pd 2.99-3.04
Pd 0.1656 0.4226 0.3313  7 Pu 3.03-3.08, 1 Nd 3.09, 1 Pd 3.32
Pd 0.8344 0.5774 0.6687  7 Pu 3.03-3.08, 1 Nd 3.09, 1 Pd 3.32
Pd 0.5000 0.7336 0.0000  6 Pu 2.99-3.13, 2 Nd 3.12, 1 Pd 3.20
Pd 0.5000 0.2664 0.0000  6 Pu 2.99-3.13, 2 Nd 3.12, 1 Pd 3.20
Pd 0.8344 0.0913 0.6687  7 Pu 3.03-3.08, 1 Nd 3.09, 1 Pd 3.32
Pd 0.1656 0.9087 0.3313  7 Pu 3.03-3.08, 1 Nd 3.09, 1 Pd 3.32
Nd 0.0000 0.0000 0.0000  8 Pd 3.09-3.12, 2 Pu 3.42

## Properties
Electronic total energy = -112.8 eV per cell


Values for total moment, μB per formula unit, ordered as above
3.86, 16.91
Values for density of states at the Fermi level, states/eV per cell, ordered as above
2.49, 56.84